A plane-wave DFT calculation with GGA+U was carried out for CoH2O2 after structural relaxation.

- energy relative to the lowest polymorph listed for this composition (eV/atom) = 0.167

Cell: 3.125 3.125 4.576 Å, 90.00 90.00 120.00°
Sites, in units of the cell vectors:
Co: 0.000 0.000 0.000
H: 0.333 0.667 0.445
H: 0.667 0.333 0.555
O: 0.333 0.667 0.232
O: 0.667 0.333 0.768